Pm2NiH6Pd: optimized geometry, GGA-PBE.

Cell lengths 5.2195, 5.2144, 5.2091 Å; angles 60.10, 60.00, 59.90 degrees
Closest atoms and distances in Å follow each position.
Fractional positions:
Pm1 0.2500 0.2500 0.2500  12 H 2.61
Pm2 0.7500 0.7500 0.7500  12 H 2.61
Ni1 0.0000 0.0000 0.0000  6 H 1.72-1.73
H1 0.2336 0.2336 0.7664  1 Ni 1.73
H2 0.2339 0.7661 0.2339  1 Ni 1.72
H3 0.2343 0.7657 0.7657  1 Ni 1.72
H4 0.7657 0.2343 0.2343  1 Ni 1.72
H5 0.7661 0.2339 0.7661  1 Ni 1.72
H6 0.7664 0.7664 0.2336  1 Ni 1.73
Pd1 0.5000 0.5000 0.5000  6 H 1.96-1.97

Computed properties:
The calculation puts the total energy at -4.55 eV/atom. The size of the total moment is 0.00 μB per formula unit.